# 1
5
Lattice="4.488 0.000 0.000 0.000 4.488 0.000 0.000 0.000 4.488" Properties=species:S:1:pos:R:3 comment="Tc3NiSb PBE optimized geometry" formation_energy_uncorrected_ev_per_atom=1.238 dft_energy_ev_per_atom=-6.963 sg="No. 221" dos_at_fermi_per_ev_atom=0.9732 relative_energy_mev_per_atom=0 pbc="T T T"
Tc 0.000 0.000 2.244
Tc 0.000 2.244 0.000
Tc 2.244 0.000 0.000
Ni 0.000 0.000 0.000
Sb 2.244 2.244 2.244

# 2
8
Lattice="6.155 0.000 0.000 0.000 6.155 0.000 0.000 0.000 6.155" Properties=species:S:1:pos:R:3 comment="TlIr PBE optimized geometry" dft_energy_ev_per_atom=-4.261 sg="No. 216" dos_at_fermi_per_ev_atom=1.2091 pbc="T T T"
Tl 0.000 0.000 0.000
Tl 0.000 3.077 3.077
Tl 3.077 0.000 3.077
Tl 3.077 3.077 0.000
Ir 1.539 1.539 1.539
Ir 1.539 4.616 4.616
Ir 4.616 1.539 4.616
Ir 4.616 4.616 1.539